# 1
Pa2TaRuN6, optimized geometry, DFT GGA-PBE; calculated volume = 13.78 Å³/atom; magnetization = 0.001 μB/cell; E_form (uncorrected) = -779 meV per atom; E_tot = -9.786 eV per atom; theoretical density = 9.98 g/cm³
1.0
-3.982 2.083 -1.806
-2.817 -1.774 4.166
1.131 4.476 2.671
N Ta Pa Ru
6 1 2 1
Direct
0.186 0.000 0.000
0.180 0.500 0.500
0.734 0.750 0.750
0.734 0.250 0.750
0.734 0.750 0.250
0.734 0.250 0.250
0.578 0.500 0.500
0.996 0.500 0.000
0.996 0.000 0.500
0.573 0.000 0.000

# 2
Tb2PaRuN4, optimized geometry, DFT GGA-PBE; calculated volume = 14.16 Å³/atom; magnetization = 0.000 μB/cell; E_form (uncorrected) = -1118 meV per atom; E_tot = -8.784 eV per atom; theoretical density = 10.35 g/cm³
1.0
3.369 0.000 0.000
-1.685 5.790 0.000
0.000 0.000 11.615
Tb N Pa Ru
4 8 2 2
Direct
0.629 0.258 0.052
0.371 0.742 0.948
0.629 0.258 0.448
0.371 0.742 0.552
0.000 0.000 0.000
0.717 0.433 0.636
0.283 0.567 0.364
0.283 0.567 0.136
0.466 0.931 0.750
0.534 0.069 0.250
0.000 0.000 0.500
0.717 0.433 0.864
0.885 0.769 0.250
0.115 0.231 0.750
0.144 0.287 0.250
0.856 0.713 0.750

# 3
TbPa2RuN4, optimized geometry, DFT GGA-PBE; calculated volume = 14.50 Å³/atom; magnetization = 0.000 μB/cell; E_form (uncorrected) = -1245 meV per atom; E_tot = -9.520 eV per atom; theoretical density = 11.13 g/cm³
1.0
-3.211 -1.027 0.241
2.591 -1.279 5.377
-3.077 10.564 3.996
N Pa Ru Tb
8 4 2 2
Direct
0.000 0.000 0.000
0.723 0.446 0.613
0.539 0.078 0.250
0.723 0.446 0.887
0.461 0.922 0.750
0.000 0.000 0.500
0.277 0.554 0.387
0.277 0.554 0.113
0.370 0.739 0.941
0.370 0.739 0.559
0.630 0.261 0.441
0.630 0.261 0.059
0.847 0.694 0.750
0.153 0.306 0.250
0.891 0.782 0.250
0.109 0.218 0.750